The following is a GGA-PBE calculation of crystalline LiAg8Sn6 at its relaxed geometry, from Alexandria via LeMat-Bulk.

a = 8.304 Å, b = 8.304 Å, c = 7.522 Å
α = 56.50°, β = 56.50°, γ = 60.00°
Sites, in units of the cell vectors:
1 Sn 0.866 0.316 0.223
2 Sn 0.684 0.405 0.777
3 Sn 0.405 0.134 0.777
4 Sn 0.595 0.866 0.223
5 Sn 0.134 0.684 0.777
6 Sn 0.316 0.595 0.223
7 Ag 0.950 0.567 0.303
8 Ag 0.179 0.950 0.303
9 Ag 0.567 0.179 0.303
10 Ag 0.050 0.433 0.697
11 Ag 0.305 0.305 0.086
12 Ag 0.821 0.050 0.697
13 Ag 0.433 0.821 0.697
14 Ag 0.695 0.695 0.914
15 Li 0.000 0.000 0.000

Properties
Formation energy from the elements: 70 meV per atom
Size of the total moment: 0.00 μB per formula unit
Crystal system: trigonal
Electronic total energy: -47.70 eV for the cell shown
DOS(E_F): 4.06 states/eV per cell

The following is a GGA-PBE calculation of crystalline LiAg3Sn6 at its relaxed geometry, from Alexandria via LeMat-Bulk.

a = 7.816 Å, b = 6.787 Å, c = 9.485 Å
α = 90.00°, β = 74.13°, γ = 90.00°
Sites, in units of the cell vectors:
1 Sn 0.874 0.671 0.872
2 Sn 0.319 0.894 0.068
3 Sn 0.681 0.106 0.932
4 Sn 0.716 0.560 0.203
5 Sn 0.626 0.171 0.628
6 Sn 0.216 0.940 0.703
7 Sn 0.181 0.394 0.432
8 Sn 0.374 0.829 0.372
9 Sn 0.819 0.606 0.568
10 Sn 0.284 0.440 0.797
11 Sn 0.784 0.060 0.297
12 Sn 0.126 0.329 0.128
13 Ag 0.500 0.500 0.000
14 Ag 0.000 0.000 0.500
15 Ag 0.028 0.710 0.272
16 Ag 0.972 0.290 0.728
17 Ag 0.472 0.210 0.228
18 Ag 0.528 0.790 0.772
19 Li 0.500 0.500 0.500
20 Li 0.000 0.000 0.000

Properties
Formation energy from the elements: 19 meV per atom
Size of the total moment: 0.00 μB per formula unit
Crystal system: monoclinic
Electronic total energy: -68.59 eV for the cell shown
DOS(E_F): 6.22 states/eV per cell

The following is a GGA-PBE calculation of crystalline LiAg14Sn at its relaxed geometry, from Alexandria via LeMat-Bulk.

a = 5.859 Å, b = 5.859 Å, c = 9.661 Å
α = 90.00°, β = 90.00°, γ = 119.32°
Sites, in units of the cell vectors:
1 Sn 0.547 0.453 0.500
2 Ag 0.046 0.457 0.500
3 Ag 0.206 0.794 0.000
4 Ag 0.371 0.122 0.249
5 Ag 0.374 0.626 0.247
6 Ag 0.874 0.126 0.248
7 Ag 0.706 0.793 0.000
8 Ag 0.374 0.626 0.753
9 Ag 0.878 0.629 0.751
10 Ag 0.207 0.294 0.000
11 Ag 0.874 0.126 0.752
12 Ag 0.543 0.954 0.500
13 Ag 0.878 0.629 0.249
14 Ag 0.705 0.295 0.000
15 Ag 0.371 0.122 0.751
16 Li 0.045 0.955 0.500

Properties
Formation energy from the elements: -16 meV per atom
Size of the total moment: 0.00 μB per formula unit
Crystal system: orthorhombic
Electronic total energy: -46.10 eV for the cell shown
DOS(E_F): 7.18 states/eV per cell

The following is a GGA-PBE calculation of crystalline Li7Ag2Sn2 at its relaxed geometry, from Alexandria via LeMat-Bulk.

a = 6.193 Å, b = 6.470 Å, c = 6.193 Å
α = 90.00°, β = 107.37°, γ = 90.00°
Sites, in units of the cell vectors:
1 Li 0.500 0.288 0.000
2 Li 0.500 0.712 0.000
3 Li 0.000 0.288 0.500
4 Li 0.000 0.712 0.500
5 Li 0.000 0.000 0.000
6 Li 0.500 0.251 0.500
7 Li 0.500 0.749 0.500
8 Sn 0.191 0.500 0.191
9 Sn 0.809 0.500 0.809
10 Ag 0.716 0.000 0.284
11 Ag 0.284 0.000 0.716

Properties
Formation energy from the elements: -97 meV per atom
Size of the total moment: 0.00 μB per formula unit
Crystal system: orthorhombic
Electronic total energy: -28.17 eV for the cell shown
DOS(E_F): 4.07 states/eV per cell

Q: formation energy from the elements of number 2 (LiAg3Sn6)?
A: 19 meV per atom

Q: Which value of electronic total energy does entry 2 give?
A: -68.59 eV for the cell shown